VASP calculation (PBE) on a relaxed Pm6Ge2Sb crystal.

Computed properties:
- Total moment: 1.851 μB/f.u.
- E_tot: -5.31 eV/atom
- Space-group type: P-62m (189)

abc: 8.2507 8.2507 4.3679
angles: 90.00 90.00 120.00
Last column: nearest neighbours and their distance in Å.
Atoms (fractional coordinates):
Pm (0.0000, 0.2751, 0.0000)  2 Ge 3.02, 2 Sb 3.15
Pm (0.0000, 0.5893, 0.5000)  4 Ge 3.31, 1 Sb 3.39, 6 Pm 3.39-3.70
Pm (0.2751, 0.0000, 0.0000)  2 Ge 3.02, 2 Sb 3.15
Pm (0.4107, 0.4107, 0.5000)  4 Ge 3.31, 1 Sb 3.39, 6 Pm 3.39-3.70
Pm (0.5893, 0.0000, 0.5000)  4 Ge 3.31, 1 Sb 3.39, 6 Pm 3.39-3.70
Pm (0.7249, 0.7249, 0.0000)  2 Ge 3.02, 2 Sb 3.15
Ge (0.3333, 0.6667, 0.0000)  9 Pm 3.02-3.31
Ge (0.6667, 0.3333, 0.0000)  9 Pm 3.02-3.31
Sb (0.0000, 0.0000, 0.5000)  9 Pm 3.15-3.39